AcTh4Se6 after structural relaxation. Source: Alexandria via LeMat-Bulk, functional PBE.

Theoretical density   8.8 g cm⁻³
DOS(E_F)   4.771 states/eV/f.u.
Total magnetization   0.00 μB per cell
ΔE_f (raw)   -1692 meV/atom
Energy   -293.24 eV/cell

a = 4.1780 Å, b = 13.9509 Å, c = 21.1938 Å
α = 90.00°, β = 90.00°, γ = 90.00°
With the nearest neighbours (Å) after each atom.
Space group Cmcm (No. 63)
Asymmetric unit:
1 Ac 0.0000 0.1607 0.2500 x4  6 Se 3.10-3.20
2 Th 0.0000 0.0946 0.6210 x8  6 Se 2.88-3.01
3 Th 0.0000 0.3585 0.5358 x8  6 Se 2.97-3.15
4 Se 0.0000 0.0000 0.0000 x4  6 Th 2.88-2.97
5 Se 0.0000 0.1749 0.7500 x4  2 Th 2.95, 2 Ac 3.10
6 Se 0.0000 0.2596 0.0977 x8  5 Th 2.96-3.15
7 Se 0.0000 0.4531 0.6638 x8  3 Th 3.01-3.02, 2 Ac 3.20